Below is a relaxed Ac5Tl3Cd crystal, with properties calculated at the PBE level.

CIF file:
```
data_Ac5Tl3Cd
_chemical_formula_sum 'Ac10 Tl6 Cd2'
_cell_length_a 10.1565
_cell_length_b 10.1565
_cell_length_c 7.3898
_cell_angle_alpha 90.00
_cell_angle_beta 90.00
_cell_angle_gamma 120.00
_symmetry_space_group_name_H-M 'P 63/m c m'
_symmetry_Int_Tables_number 193
_symmetry_space_group_name_Hall '-P 6c 2'
loop_
_atom_site_label
_atom_site_fract_x
_atom_site_fract_y
_atom_site_fract_z
_atom_site_occupancy
Ac1 0.0000 0.2862 0.2500 1
Ac2 0.3333 0.6667 0.0000 1
Tl1 0.0000 0.3724 0.7500 1
Cd1 0.0000 0.0000 0.0000 1
```

Output
volume = 36.7 Å³/atom
M_tot = 0.0 Bohr magnetons per cell
raw total energy = -31.16 eV per formula unit

---

Below is a relaxed RbCaTc2 crystal, with properties calculated at the PBE level.

CIF file:
```
data_RbCaTc2
_chemical_formula_sum 'Rb4 Ca4 Tc8'
_cell_length_a 8.710
_cell_length_b 8.710
_cell_length_c 5.341
_cell_angle_alpha 90.00
_cell_angle_beta 90.00
_cell_angle_gamma 90.00
_symmetry_space_group_name_H-M 'I -4 2 d'
_symmetry_Int_Tables_number 122
_symmetry_space_group_name_Hall 'I -4 2bw'
loop_
_atom_site_label
_atom_site_fract_x
_atom_site_fract_y
_atom_site_fract_z
_atom_site_occupancy
Rb1 0.000 0.000 0.000 1
Ca1 0.000 0.000 0.500 1
Tc1 0.242 0.250 0.625 1
```

Output
volume = 25.3 Å³/atom
M_tot = 13.9 Bohr magnetons per cell
raw total energy = -16.47 eV per formula unit